[1]
Entry from Alexandria via LeMat-Bulk: crystalline KTaAl2 at its relaxed geometry (PBE).

Calculated values
SG: C2/m, No. 12
E in eV/f.u.: -18.86
Crystal system: monoclinic
ΔE_f in kJ/mol of atoms: 38
Excess energy over the best structure of this formula in the dataset in meV per atom: 193

Cell lengths 4.8786, 4.8786, 7.4401 Å; angles 85.81, 85.81, 34.03 degrees
Last column: nearest neighbours and their distance in Å.
Element x y z (fractional)
K1 0.7500 0.7500 0.7500  2 K 2.86
Al1 0.5101 0.5101 0.4084  4 Al 2.77-2.86, 3 Ta 2.78-2.83
Al2 0.9899 0.9899 0.0916  4 Al 2.77-2.86, 3 Ta 2.78-2.83
Ta1 0.2500 0.2500 0.2500  6 Al 2.78-2.83, 2 Ta 2.86



[2]
Entry from Alexandria via LeMat-Bulk: crystalline K2TaAl at its relaxed geometry (PBE).

Calculated values
SG: Cm, No. 8
E in eV/f.u.: -14.70
Crystal system: monoclinic
ΔE_f in kJ/mol of atoms: 74

Cell lengths 4.8524, 4.8524, 10.2594 Å; angles 87.87, 87.87, 35.46 degrees
Last column: nearest neighbours and their distance in Å.
Element x y z (fractional)
K1 0.0129 0.0129 0.9167  2 K 2.96
K2 0.2477 0.2477 0.3251  2 K 2.96
Ta1 0.4850 0.4850 0.5831  3 Al 2.70-2.73, 2 Ta 2.96
Al1 0.7544 0.7544 0.6751  3 Ta 2.70-2.73, 2 Al 2.96



[3]
Entry from Alexandria via LeMat-Bulk: crystalline K2TaAl at its relaxed geometry (PBE).

Calculated values
SG: I-42d, No. 122
E in eV/f.u.: -12.36
Crystal system: tetragonal
ΔE_f in kJ/mol of atoms: 131

Cell lengths 12.1894, 12.1894, 9.0071 Å; angles 47.42, 47.42, 90.00 degrees
Last column: nearest neighbours and their distance in Å.
Element x y z (fractional)
K1 0.4829 0.1250 0.2500  2 Al 3.38
K2 0.8750 0.7329 0.7500  2 Al 3.38
K3 0.3750 0.5171 0.7500  2 Al 3.38
K4 0.2671 0.6250 0.2500  2 Al 3.38
Al1 0.2500 0.7500 0.5000  2 Ta 2.61
Al2 0.5000 0.5000 0.0000  2 Ta 2.61
Ta1 0.7500 0.2500 0.5000  2 Al 2.61
Ta2 0.0000 0.0000 0.0000  2 Al 2.61



[4]
Entry from Alexandria via LeMat-Bulk: crystalline KTaAl2 at its relaxed geometry (PBE).

Calculated values
SG: Cmm2, No. 35
E in eV/f.u.: -18.87
Crystal system: orthorhombic
ΔE_f in kJ/mol of atoms: 38
Excess energy over the best structure of this formula in the dataset in meV per atom: 192

Cell lengths 2.9061, 2.9061, 10.1337 Å; angles 90.00, 90.00, 90.46 degrees
Last column: nearest neighbours and their distance in Å.
Element x y z (fractional)
K1 0.0000 0.0000 0.4889  4 K 2.91
Ta1 0.5000 0.5000 0.8090  4 Al 2.83-2.84, 4 Ta 2.91
Al1 0.0000 0.0000 0.0012  4 Ta 2.83-2.84, 8 Al 2.88-2.91
Al2 0.5000 0.5000 0.2008  8 Al 2.88-2.91



[5]
Entry from Alexandria via LeMat-Bulk: crystalline KTa2Al at its relaxed geometry (PBE).

Calculated values
SG: P4/mmm, No. 123
E in eV/f.u.: -26.30
Crystal system: tetragonal
ΔE_f in kJ/mol of atoms: 54

Cell lengths 2.9081, 2.9081, 10.3305 Å; angles 90.00, 90.00, 90.00 degrees
Last column: nearest neighbours and their distance in Å.
Element x y z (fractional)
Al1 0.5000 0.5000 0.2500  8 Ta 2.79, 4 Al 2.91
Ta1 0.0000 0.0000 0.4327  4 Al 2.79, 4 Ta 2.91
Ta2 0.0000 0.0000 0.0673  4 Al 2.79, 4 Ta 2.91
K1 0.5000 0.5000 0.7500  4 K 2.91



[6]
Entry from Alexandria via LeMat-Bulk: crystalline KTaAl2 at its relaxed geometry (PBE).

Calculated values
SG: Cm, No. 8
E in eV/f.u.: -18.30
Crystal system: monoclinic
ΔE_f in kJ/mol of atoms: 52
Excess energy over the best structure of this formula in the dataset in meV per atom: 335

Cell lengths 5.4618, 5.4618, 6.2073 Å; angles 79.41, 79.41, 30.16 degrees
Last column: nearest neighbours and their distance in Å.
Element x y z (fractional)
Ta1 0.2799 0.2799 0.1415  5 Al 2.76-2.99, 2 Ta 2.84
Al1 0.7188 0.7188 0.7943  2 Ta 2.76, 4 Al 2.77-2.84
Al2 0.0148 0.0148 0.0368  4 Al 2.77-2.84, 3 Ta 2.82-2.99
K1 0.4864 0.4864 0.5273  2 K 2.84